K3RbI: single point on PBEsol structure, SCAN.

a b c (Å): 6.967 6.967 6.967
angles (deg): 90.00 90.00 90.00
Space group Pm-3m (No. 221)
Unique sites:
K 0.000 0.000 0.500 x3
Rb 0.500 0.500 0.500 x1
I 0.000 0.000 0.000 x1

Summary:
- E_form (uncorrected) (eV/atom) = -0.56
- energy (eV per atom) = -17.05